(1)
Ga3CuRh | PBE | relaxed

Unit cell a=4.754 b=4.754 c=4.754 alpha=90.00 beta=90.00 gamma=90.00
Space group Pm-3m (No. 221)
Inequivalent atoms, fractional coordinates:
Ga: 0.000 0.000 0.500 (multiplicity 3)
Cu: 0.500 0.500 0.500 (multiplicity 1)
Rh: 0.000 0.000 0.000 (multiplicity 1)

magnetic moment = 0.00 μB per formula unit
density = 5.80 Mg/m³
offset from the most stable computed form = 365 meV/atom

***

(2)
Sm2Tm3Sc4 | PBE | relaxed

Unit cell a=15.816 b=11.091 c=5.837 alpha=90.00 beta=96.36 gamma=90.00
Space group C2/c (No. 15)
Inequivalent atoms, fractional coordinates:
Sm: 0.127 0.144 0.316 (multiplicity 8)
Tm: 0.000 0.104 0.750 (multiplicity 4)
Tm: 0.162 0.404 0.615 (multiplicity 8)
Sc: 0.043 0.364 0.021 (multiplicity 8)
Sc: 0.222 0.141 0.846 (multiplicity 8)

magnetic moment = 0.00 μB per formula unit
energy = -188.80 eV/cell
density = 6.44 Mg/m³

***

(3)
HgPb3Au3 | PBE | relaxed

Unit cell a=7.7565 b=7.7565 c=20.7706 alpha=90.00 beta=90.00 gamma=120.00
Space group R-3m (No. 166, hexagonal axes)
Inequivalent atoms, fractional coordinates:
Hg: 0.0000 0.0000 0.0825 (multiplicity 6)
Pb: 0.0375 0.5187 0.8906 (multiplicity 18)
Au: 0.0807 0.5403 0.3211 (multiplicity 18)

magnetic moment = 0.00 μB per formula unit
density = 13.01 Mg/m³
offset from the most stable computed form = 0 meV/atom

***

(4)
LaCeCoGe | PBE | relaxed

Unit cell a=4.924 b=4.924 c=8.581 alpha=90.00 beta=90.00 gamma=90.00
Space group P4/nmm (No. 129, origin choice 2)
Inequivalent atoms, fractional coordinates:
La: 0.250 0.250 0.143 (multiplicity 2)
Ce: 0.250 0.750 0.500 (multiplicity 2)
Co: 0.250 0.250 0.513 (multiplicity 2)
Ge: 0.250 0.250 0.793 (multiplicity 2)

magnetic moment = 0.00 μB per formula unit
energy = -48.63 eV/cell
density = 6.55 Mg/m³

***

(5)
Tm14PuTh | PBE | relaxed

Unit cell a=6.985 b=6.985 c=9.833 alpha=90.00 beta=90.00 gamma=90.00
Space group P4/mmm (No. 123)
Inequivalent atoms, fractional coordinates:
Tm: 0.000 0.000 0.000 (multiplicity 1)
Tm: 0.000 0.500 0.000 (multiplicity 2)
Tm: 0.000 0.500 0.500 (multiplicity 2)
Tm: 0.250 0.250 0.252 (multiplicity 8)
Tm: 0.500 0.500 0.000 (multiplicity 1)
Pu: 0.000 0.000 0.500 (multiplicity 1)
Th: 0.500 0.500 0.500 (multiplicity 1)

magnetic moment = 6.63 μB per formula unit
energy = -83.64 eV/cell
density = 9.84 Mg/m³